This record from Alexandria via LeMat-Bulk describes a relaxed KCd2Cu crystal. The functional is PBE-GGA.

```
KCd2Cu
1.0
2.3526 1.3583 6.2494
-2.3526 1.3583 6.2494
0.0000 -2.7165 6.2494
K Cd Cu
1 2 1
Direct
0.0000 0.0000 0.0000
0.1936 0.1936 0.1936
0.8064 0.8064 0.8064
0.5000 0.5000 0.5000
```

Calculated values
Its crystal system is trigonal. As for the space-group type: R-3m, No. 166. The formation energy is 32 meV/atom. The value obtained for the density of states at the Fermi level is 1.53 states/eV/cell. Its energy above the lowest structure with this stoichiometry is 0 meV per atom.